Dy2SnH3 | PBE | optimized geometry

Results
Its density of states at the Fermi level is 0.204 states/eV per atom. For the total energy, the calculation gives -54.41 eV for the cell shown.

Cell: 3.6601 7.4647 7.5766 Å, 111.52 90.00 104.19°
Last column: nearest neighbours and their distance in Å.
Element x y z (fractional)
Dy 0.5290 0.0580 0.2712  4 H 2.08-2.25
H 0.3093 0.6187 0.5312  1 H 2.11, 4 Dy 2.24-2.33
Dy 0.4710 0.9420 0.7288  4 H 2.08-2.25
H 0.6907 0.3813 0.4688  1 H 2.11, 4 Dy 2.24-2.33
H 0.4093 0.8185 0.3888  3 H 2.11-2.31, 3 Dy 2.23-2.30
H 0.0650 0.1299 0.4112  3 Dy 2.08-2.11, 2 H 2.31
Dy 0.1944 0.3888 0.6624  6 H 2.11-2.33
Dy 0.8056 0.6112 0.3376  6 H 2.11-2.33
Sn 0.8611 0.7223 0.9658  7 Dy 3.20-3.36, 4 H 3.41-3.54
H 0.9350 0.8701 0.5888  3 Dy 2.08-2.11, 2 H 2.31
Sn 0.1389 0.2777 0.0342  7 Dy 3.20-3.36, 4 H 3.41-3.54
H 0.5907 0.1815 0.6112  3 H 2.11-2.31, 3 Dy 2.23-2.30